Record 1
DFT (PBE-GGA) results for an optimized crystal structure of CuWSe2.

Results
ΔE_f (raw) = 0.70 eV per atom

Geometry as POSCAR:
```
CuWSe2
1.0
3.7319 0.0000 0.0000
0.0000 3.7319 0.0000
0.0000 0.0000 9.5004
Cu W Se
2 2 4
Cartesian
0.0000 0.0000 0.0000
1.8659 1.8659 4.7502
0.0000 1.8659 2.3751
1.8659 0.0000 7.1253
0.0000 0.0000 4.7502
0.0000 1.8659 7.1253
1.8659 0.0000 2.3751
1.8659 1.8659 0.0000
```

Record 2
DFT (PBE-GGA) results for an optimized crystal structure of PmNdIn4.

Results
ΔH_f (0 K) = -0.471 eV/atom

Geometry as POSCAR:
```
PmNdIn4
1.0
4.7472 0.0000 0.0000
0.0000 7.5212 0.0000
0.0000 0.0000 9.1668
Pm Nd In
2 2 8
Cartesian
0.0000 0.0000 0.0000
2.3736 3.7606 4.5834
0.0000 3.7606 8.1051
2.3736 0.0000 3.5217
0.0000 1.5429 5.5052
0.0000 2.2280 2.5877
0.0000 5.2932 2.5877
0.0000 5.9783 5.5052
2.3736 1.5326 7.1711
2.3736 2.2177 0.9218
2.3736 5.3035 0.9218
2.3736 5.9886 7.1711
```

Record 3
DFT (PBE-GGA) results for an optimized crystal structure of Pm5Y4Tm.

Results
ΔH_f (0 K) = 0.160 eV/atom

Geometry as POSCAR:
```
Pm5Y4Tm
1.0
3.5949 0.0000 0.0000
1.7966 9.1046 0.0000
0.0026 1.0927 10.4495
Pm Y Tm
5 4 1
Cartesian
0.0000 0.0000 0.0000
1.7971 4.4287 9.4621
1.8043 2.8933 2.8168
3.5899 7.3041 7.6328
3.5970 5.7687 0.9874
1.7961 6.2337 4.3134
1.8006 1.6107 7.7063
3.5935 8.5867 2.7432
3.5980 3.9636 6.1361
0.0013 0.5464 5.2248
```

Record 4
DFT (PBE-GGA) results for an optimized crystal structure of Tl4Cu3.

Results
ΔH_f (0 K) = 0.277 eV/atom

Geometry as POSCAR:
```
Tl4Cu3
1.0
5.2748 0.0000 0.0000
-2.6374 4.5681 0.0000
0.0000 0.0000 6.4562
Tl Cu
4 3
Cartesian
0.0000 0.0000 1.5317
0.0000 0.0000 4.9245
0.0000 3.0454 3.2281
2.6374 1.5227 3.2281
-1.3187 2.2840 0.0000
2.6374 0.0000 0.0000
1.3187 2.2840 0.0000
```